# 1
Entry from Alexandria: a relaxed structure of TmPuMn2 (PBE).

a b c (Å): 4.826 4.826 3.329
angles (deg): 90.00 90.00 90.00
Space group P4/mmm (No. 123)
Asymmetric unit:
Tm 0.000 0.000 0.000 (multiplicity 1)
Pu 0.500 0.500 0.000 (multiplicity 1)
Mn 0.000 0.500 0.500 (multiplicity 2)

Values from the calculation:
The formation energy comes out at 91 meV/atom. As for the calculated volume: 78 Å³ per cell. Its total magnetization is 0.0230 μB/atom. As for the calculated total energy: -36.779 eV for the cell shown.

---

# 2
Entry from Alexandria: a relaxed structure of TmPuMn2 (PBE).

a b c (Å): 4.3192 4.3192 9.1172
angles (deg): 90.00 90.00 120.00
Space group P6_3/mmc (No. 194)
Asymmetric unit:
Tm 0.3333 0.6667 0.2500 (multiplicity 2)
Pu 0.0000 0.0000 0.0000 (multiplicity 2)
Mn 0.3333 0.6667 0.5698 (multiplicity 4)

Values from the calculation:
The formation energy comes out at -29 meV/atom. As for the calculated volume: 147 Å³ per cell. Its total magnetization is 0.2467 μB/atom. As for the calculated total energy: -74.521 eV for the cell shown.

---

# 3
Entry from Alexandria: a relaxed structure of TmPuMn (PBE).

a b c (Å): 10.391 4.545 6.756
angles (deg): 90.00 124.93 90.00
Space group C2/m (No. 12)
Asymmetric unit:
Tm 0.083 0.000 0.351 (multiplicity 4)
Pu 0.161 0.500 0.047 (multiplicity 4)
Mn 0.145 0.500 0.704 (multiplicity 4)

Values from the calculation:
The formation energy comes out at 85 meV/atom. As for the calculated volume: 262 Å³ per cell. Its total magnetization is 1.2272 μB/atom. The distance to the lowest polymorph of the same formula is 0 meV/atom. As for the calculated total energy: -110.877 eV for the cell shown.

---

# 4
Entry from Alexandria: a relaxed structure of TmPuMn (PBE).

a b c (Å): 3.406 3.406 11.351
angles (deg): 90.00 90.00 90.00
Space group I4mm (No. 107)
Asymmetric unit:
Tm 0.000 0.000 0.000 (multiplicity 2)
Pu 0.000 0.000 0.283 (multiplicity 2)
Mn 0.000 0.000 0.667 (multiplicity 2)

Values from the calculation:
The formation energy comes out at 94 meV/atom. As for the calculated volume: 132 Å³ per cell. Its total magnetization is 1.1744 μB/atom. The distance to the lowest polymorph of the same formula is 10 meV/atom. As for the calculated total energy: -55.382 eV for the cell shown.

---

# 5
Entry from Alexandria: a relaxed structure of TmPuMn2 (PBE).

a b c (Å): 3.380 3.380 6.709
angles (deg): 90.00 90.00 90.00
Space group P4/mmm (No. 123)
Asymmetric unit:
Tm 0.000 0.000 0.000 (multiplicity 1)
Pu 0.000 0.000 0.500 (multiplicity 1)
Mn 0.500 0.500 0.289 (multiplicity 2)

Values from the calculation:
The formation energy comes out at 40 meV/atom. As for the calculated volume: 77 Å³ per cell. Its total magnetization is 0.0095 μB/atom. As for the calculated total energy: -36.981 eV for the cell shown.

---

# 6
Entry from Alexandria: a relaxed structure of Pu2UMn (PBE).

a b c (Å): 3.383 3.383 6.759
angles (deg): 90.00 90.00 90.00
Space group P4/mmm (No. 123)
Asymmetric unit:
Pu 0.000 0.000 0.227 (multiplicity 2)
U 0.500 0.500 0.500 (multiplicity 1)
Mn 0.500 0.500 0.000 (multiplicity 1)

Values from the calculation:
The formation energy comes out at 160 meV/atom. As for the calculated volume: 77 Å³ per cell. Its total magnetization is 1.9020 μB/atom. The distance to the lowest polymorph of the same formula is 0 meV/atom. As for the calculated total energy: -48.482 eV for the cell shown.

---

# 7
Entry from Alexandria: a relaxed structure of Pu2UMn (PBE).

a b c (Å): 5.062 5.062 3.040
angles (deg): 90.00 90.00 90.00
Space group P4/mmm (No. 123)
Asymmetric unit:
Pu 0.000 0.500 0.000 (multiplicity 2)
U 0.000 0.000 0.500 (multiplicity 1)
Mn 0.500 0.500 0.500 (multiplicity 1)

Values from the calculation:
The formation energy comes out at 207 meV/atom. As for the calculated volume: 78 Å³ per cell. Its total magnetization is 1.5957 μB/atom. The distance to the lowest polymorph of the same formula is 48 meV/atom. As for the calculated total energy: -48.292 eV for the cell shown.

---

# 8
Entry from Alexandria: a relaxed structure of PuU2Mn3 (PBE).

a b c (Å): 5.6046 5.6046 3.8657
angles (deg): 90.00 90.00 120.00
Space group P6/mmm (No. 191)
Asymmetric unit:
Pu 0.0000 0.0000 0.0000 (multiplicity 1)
U 0.3333 0.6667 0.0000 (multiplicity 2)
Mn 0.0000 0.5000 0.5000 (multiplicity 3)

Values from the calculation:
The formation energy comes out at 107 meV/atom. As for the calculated volume: 105 Å³ per cell. Its total magnetization is 0.9490 μB/atom. As for the calculated total energy: -63.773 eV for the cell shown.

---

# 9
Entry from Alexandria: a relaxed structure of PuUMn2 (PBE).

a b c (Å): 4.102 4.102 4.145
angles (deg): 90.00 90.00 90.00
Space group P4/mmm (No. 123)
Asymmetric unit:
Pu 0.000 0.000 0.000 (multiplicity 1)
U 0.500 0.500 0.000 (multiplicity 1)
Mn 0.000 0.500 0.500 (multiplicity 2)

Values from the calculation:
The formation energy comes out at 209 meV/atom. As for the calculated volume: 70 Å³ per cell. Its total magnetization is 0.3075 μB/atom. As for the calculated total energy: -43.125 eV for the cell shown.

---

# 10
Entry from Alexandria: a relaxed structure of PuUMn (PBE).

a b c (Å): 6.531 3.836 8.753
angles (deg): 90.00 96.56 90.00
Space group C2/m (No. 12)
Asymmetric unit:
Pu 0.104 0.000 0.120 (multiplicity 4)
U 0.205 0.000 0.743 (multiplicity 4)
Mn 0.164 0.000 0.469 (multiplicity 4)

Values from the calculation:
The formation energy comes out at 242 meV/atom. As for the calculated volume: 218 Å³ per cell. Its total magnetization is 0.0000 μB/atom. The distance to the lowest polymorph of the same formula is 151 meV/atom. As for the calculated total energy: -136.254 eV for the cell shown.

---

# 11
Entry from Alexandria: a relaxed structure of Pu2UMn (PBE).

a b c (Å): 3.5649 3.5649 23.0596
angles (deg): 90.00 90.00 120.00
Space group R-3m (No. 166, hexagonal axes)
Asymmetric unit:
Pu 0.0000 0.0000 0.1000 (multiplicity 6)
U 0.0000 0.0000 0.5000 (multiplicity 3)
Mn 0.0000 0.0000 0.0000 (multiplicity 3)

Values from the calculation:
The formation energy comes out at 823 meV/atom. As for the calculated volume: 254 Å³ per cell. Its total magnetization is 1.2596 μB/atom. The distance to the lowest polymorph of the same formula is 663 meV/atom. As for the calculated total energy: -137.488 eV for the cell shown.

---

# 12
Entry from Alexandria: a relaxed structure of Pu3U2Mn7 (PBE).

a b c (Å): 5.4674 5.4674 22.3270
angles (deg): 90.00 90.00 120.00
Space group R-3m (No. 166, hexagonal axes)
Asymmetric unit:
Pu 0.0000 0.0000 0.0000 (multiplicity 3)
Pu 0.0000 0.0000 0.1438 (multiplicity 6)
U 0.0000 0.0000 0.3348 (multiplicity 6)
Mn 0.0000 0.0000 0.5000 (multiplicity 3)
Mn 0.9997 0.4999 0.0846 (multiplicity 18)

Values from the calculation:
The formation energy comes out at 89 meV/atom. As for the calculated volume: 578 Å³ per cell. Its total magnetization is 0.2130 μB/atom. As for the calculated total energy: -386.078 eV for the cell shown.